(P)
Here is a geometry-optimized LiTa2Ag structure from the Alexandria database. Energies are from PBE.

POSCAR file:
```
LiTa2Ag
1.0
10.2490 0.0123 0.0072
9.8499 2.8321 0.0072
9.8499 1.3939 2.4653
Ag Li Ta
1 1 2
Direct
0.4973 0.4973 0.4973 Ag
0.7537 0.7537 0.7537 Li
0.2479 0.2479 0.2479 Ta
0.0011 0.0011 0.0011 Ta
```

Properties
* space-group type: R3m
* volume: 71.1 Å³ per cell
* total magnetization: 0.00 Bohr magnetons per cell

=====

(Q)
Here is a geometry-optimized LiTa2Ag structure from the Alexandria database. Energies are from PBE.

POSCAR file:
```
LiTa2Ag
1.0
-1.4237 -4.8084 -0.3739
2.3847 -0.7909 1.0911
-1.2174 -0.0260 4.9708
Ta Li Ag
2 1 1
Direct
0.0000 0.9793 0.9926 Ta
0.0000 0.5207 0.5074 Ta
0.5000 0.7500 0.7500 Li
0.5000 0.2500 0.2500 Ag
```

Properties
* space-group type: P2/m
* volume: 69.3 Å³ per cell
* total magnetization: 0.00 Bohr magnetons per cell

=====

The structure with the least stability is (Q).

=====

(P)
Here is a geometry-optimized Pm3Tm structure from the Alexandria database. Energies are from PBE.

POSCAR file:
```
Pm3Tm
1.0
5.7442 0.0000 0.0000
2.8721 4.9746 0.0000
2.8721 1.6582 4.6901
Pm Tm
3 1
Direct
0.0000 0.0000 0.0000 Pm
0.7500 0.7500 0.7500 Pm
0.2500 0.2500 0.2500 Pm
0.5000 0.5000 0.5000 Tm
```

Properties
* space-group type: Fm-3m
* volume: 134.0 Å³ per cell
* total magnetization: 0.00 Bohr magnetons per cell

=====

(Q)
Here is a geometry-optimized Pm3Tm structure from the Alexandria database. Energies are from PBE.

POSCAR file:
```
Pm3Tm
1.0
-2.2113 5.3750 2.2899
-5.0468 -1.1599 3.4941
5.7321 -2.4833 0.0209
Tm Pm
1 3
Direct
0.0000 0.0000 0.0000 Tm
0.5000 0.5000 0.0000 Pm
0.7500 0.2500 0.5000 Pm
0.2500 0.7500 0.5000 Pm
```

Properties
* space-group type: I4/mmm
* volume: 133.0 Å³ per cell
* total magnetization: 0.00 Bohr magnetons per cell

=====

The structure with the least stability is (P).

=====

(P)
Here is a geometry-optimized BeW structure from the Alexandria database. Energies are from PBE.

POSCAR file:
```
BeW
1.0
7.9389 0.0000 0.0000
0.0000 3.1805 0.0000
0.0000 0.0000 8.0466
Be W
8 8
Direct
0.9013 0.7500 0.7787 Be
0.0987 0.2500 0.2213 Be
0.5987 0.2500 0.2787 Be
0.1000 0.7500 0.0164 Be
0.6000 0.7500 0.4836 Be
0.4013 0.7500 0.7213 Be
0.9000 0.2500 0.9836 Be
0.4000 0.2500 0.5164 Be
0.8664 0.2500 0.4994 W
0.3664 0.2500 0.0006 W
0.3502 0.7500 0.2644 W
0.6337 0.7500 0.9994 W
0.8502 0.7500 0.2356 W
0.1336 0.7500 0.5006 W
0.6498 0.2500 0.7356 W
0.1498 0.2500 0.7644 W
```

Properties
* space-group type: Pnma
* volume: 203.2 Å³ per cell
* total magnetization: 0.00 Bohr magnetons per cell

=====

(Q)
Here is a geometry-optimized BeW structure from the Alexandria database. Energies are from PBE.

POSCAR file:
```
BeW
1.0
3.2269 0.0000 0.0000
-1.6135 2.7946 0.0000
0.0000 0.0000 16.0007
Be W
6 6
Direct
0.0000 0.0000 0.3371 Be
0.0000 0.0000 0.6629 Be
0.6667 0.3333 0.0038 Be
0.6667 0.3333 0.3296 Be
0.3333 0.6667 0.6704 Be
0.3333 0.6667 0.9962 Be
0.6667 0.3333 0.5636 W
0.0000 0.0000 0.8969 W
0.3333 0.6667 0.2303 W
0.0000 0.0000 0.1031 W
0.3333 0.6667 0.4364 W
0.6667 0.3333 0.7697 W
```

Properties
* space-group type: R-3m
* volume: 144.3 Å³ per cell
* total magnetization: 0.00 Bohr magnetons per cell

=====

The structure with the least stability is (Q).